This record from Alexandria describes a relaxed RbVGeTe3 crystal. The functional is GGA-PBE.

abc: 9.284 4.108 11.255
angles: 90.00 112.89 90.00
Space group P2_1/m (No. 11)
Inequivalent atoms, fractional coordinates:
Rb1 0.065 0.250 0.278 [2 per cell]
V1 0.478 0.750 0.870 [2 per cell]
Ge1 0.435 0.250 0.552 [2 per cell]
Te1 0.259 0.750 0.601 [2 per cell]
Te2 0.291 0.250 0.898 [2 per cell]
Te3 0.361 0.750 0.203 [2 per cell]

## Properties
The total energy comes out at -4.474 eV per atom. The calculation puts the formation energy without anion corrections at -453 meV per atom. The crystal system is monoclinic.

=====

This record from Alexandria describes a relaxed RbYGeTe3 crystal. The functional is GGA-PBE.

abc: 9.498 4.316 11.992
angles: 90.00 111.29 90.00
Space group P2_1/m (No. 11)
Inequivalent atoms, fractional coordinates:
Rb1 0.233 0.250 0.280 [2 per cell]
Y1 0.366 0.750 0.842 [2 per cell]
Ge1 0.117 0.250 0.554 [2 per cell]
Te1 0.113 0.250 0.778 [2 per cell]
Te2 0.324 0.750 0.571 [2 per cell]
Te3 0.389 0.750 0.104 [2 per cell]

## Properties
The total energy comes out at -4.535 eV per atom. The calculation puts the formation energy without anion corrections at -956 meV per atom. The crystal system is monoclinic.

=====

This record from Alexandria describes a relaxed RbY2GeTe crystal. The functional is GGA-PBE.

abc: 5.688 5.688 5.232
angles: 90.00 90.00 90.00
Space group P4/mmm (No. 123)
Inequivalent atoms, fractional coordinates:
Rb1 0.000 0.000 0.000 [1 per cell]
Y1 0.000 0.500 0.000 [2 per cell]
Ge1 0.000 0.000 0.500 [1 per cell]
Te1 0.500 0.500 0.500 [1 per cell]

## Properties
The total energy comes out at -3.119 eV per atom. As for the density of states at the Fermi level: 5.133 states/eV/f.u. The calculation puts the formation energy without anion corrections at 1212 meV per atom. The crystal system is tetragonal.

=====

This record from Alexandria describes a relaxed Rb2YGeTe crystal. The functional is GGA-PBE.

abc: 6.652 6.652 5.824
angles: 90.00 90.00 90.00
Space group P4/mmm (No. 123)
Inequivalent atoms, fractional coordinates:
Rb1 0.000 0.500 0.000 [2 per cell]
Y1 0.000 0.000 0.500 [1 per cell]
Ge1 0.500 0.500 0.500 [1 per cell]
Te1 0.000 0.000 0.000 [1 per cell]

## Properties
The total energy comes out at -3.127 eV per atom. As for the density of states at the Fermi level: 1.647 states/eV/f.u. The calculation puts the formation energy without anion corrections at 104 meV per atom. The crystal system is tetragonal.

=====

This record from Alexandria describes a relaxed RbTiGe3 crystal. The functional is GGA-PBE.

abc: 5.041 5.041 5.041
angles: 90.00 90.00 90.00
Space group Pm-3m (No. 221)
Inequivalent atoms, fractional coordinates:
Rb1 0.000 0.000 0.000 [1 per cell]
Ti1 0.500 0.500 0.500 [1 per cell]
Ge1 0.000 0.500 0.500 [3 per cell]

## Properties
The calculation puts the offset from the most stable computed form at 0 meV/atom. The total energy comes out at -4.573 eV per atom. As for the density of states at the Fermi level: 1.961 states/eV/f.u. The crystal system is cubic.

=====

This record from Alexandria describes a relaxed RbTiGe3 crystal. The functional is GGA-PBE.

abc: 5.342 5.342 5.342
angles: 90.00 90.00 90.00
Space group Pm-3m (No. 221)
Inequivalent atoms, fractional coordinates:
Rb1 0.000 0.000 0.000 [1 per cell]
Ti1 0.500 0.500 0.500 [1 per cell]
Ge1 0.000 0.000 0.500 [3 per cell]

## Properties
The calculation puts the offset from the most stable computed form at 2005 meV/atom. The total energy comes out at -2.567 eV per atom. As for the density of states at the Fermi level: 8.692 states/eV/f.u. The crystal system is cubic.

=====

This record from Alexandria describes a relaxed Rb2TiGe crystal. The functional is GGA-PBE.

abc: 13.556 13.556 5.041
angles: 90.00 90.00 90.00
Space group I-42d (No. 122)
Inequivalent atoms, fractional coordinates:
Rb1 0.065 0.250 0.125 [8 per cell]
Ti1 0.000 0.000 0.500 [4 per cell]
Ge1 0.000 0.000 0.000 [4 per cell]

## Properties
The total energy comes out at -3.093 eV per atom. As for the density of states at the Fermi level: 17.408 states/eV/f.u. The crystal system is tetragonal.

=====

This record from Alexandria describes a relaxed Rb3TiGe crystal. The functional is GGA-PBE.

abc: 6.757 6.757 6.757
angles: 90.00 90.00 90.00
Space group Pm-3m (No. 221)
Inequivalent atoms, fractional coordinates:
Rb1 0.000 0.000 0.500 [3 per cell]
Ti1 0.500 0.500 0.500 [1 per cell]
Ge1 0.000 0.000 0.000 [1 per cell]

## Properties
The calculation puts the offset from the most stable computed form at 0 meV/atom. The total energy comes out at -2.049 eV per atom. As for the density of states at the Fermi level: 19.078 states/eV/f.u. The crystal system is cubic.

=====

This record from Alexandria describes a relaxed RbTlGe3 crystal. The functional is GGA-PBE.

abc: 5.572 5.572 5.572
angles: 90.00 90.00 90.00
Space group Pm-3m (No. 221)
Inequivalent atoms, fractional coordinates:
Rb1 0.000 0.000 0.000 [1 per cell]
Tl1 0.500 0.500 0.500 [1 per cell]
Ge1 0.000 0.500 0.500 [3 per cell]

## Properties
The calculation puts the offset from the most stable computed form at 0 meV/atom. The total energy comes out at -2.797 eV per atom. As for the density of states at the Fermi level: 3.597 states/eV/f.u. The crystal system is cubic.

=====

This record from Alexandria describes a relaxed Rb2Tl7Ge crystal. The functional is GGA-PBE.

abc: 5.204 5.204 13.088
angles: 90.00 90.00 90.00
Space group P-4m2 (No. 115)
Inequivalent atoms, fractional coordinates:
Rb1 0.000 0.500 0.238 [2 per cell]
Tl1 0.000 0.000 0.000 [1 per cell]
Tl2 0.000 0.000 0.500 [1 per cell]
Tl3 0.000 0.500 0.640 [2 per cell]
Tl4 0.000 0.500 0.874 [2 per cell]
Tl5 0.500 0.500 0.500 [1 per cell]
Ge1 0.500 0.500 0.000 [1 per cell]

## Properties
The total energy comes out at -2.319 eV per atom. As for the density of states at the Fermi level: 4.710 states/eV/f.u. The crystal system is tetragonal.

=====

This record from Alexandria describes a relaxed Rb2Tl2Ge crystal. The functional is GGA-PBE.

abc: 7.834 7.834 6.205
angles: 90.00 90.00 90.00
Space group P4/mbm (No. 127)
Inequivalent atoms, fractional coordinates:
Rb1 0.182 0.318 0.000 [4 per cell]
Tl1 0.142 0.642 0.500 [4 per cell]
Ge1 0.000 0.000 0.500 [2 per cell]

## Properties
The total energy comes out at -2.198 eV per atom. As for the density of states at the Fermi level: 4.631 states/eV/f.u. The crystal system is tetragonal.

=====

This record from Alexandria describes a relaxed Rb2TlGe2 crystal. The functional is GGA-PBE.

abc: 11.587 7.125 9.445
angles: 90.00 106.90 90.00
Space group C2/c (No. 15)
Inequivalent atoms, fractional coordinates:
Rb1 0.143 0.156 0.128 [8 per cell]
Tl1 0.000 0.412 0.750 [4 per cell]
Ge1 0.160 0.332 0.496 [8 per cell]

## Properties
The calculation puts the offset from the most stable computed form at 0 meV/atom. The total energy comes out at -2.726 eV per atom. As for the density of states at the Fermi level: 1.715 states/eV/f.u. The crystal system is monoclinic.

=====

Copy entry 11 word for word.
This record from Alexandria describes a relaxed Rb2Tl2Ge crystal. The functional is GGA-PBE.

abc: 7.834 7.834 6.205
angles: 90.00 90.00 90.00
Space group P4/mbm (No. 127)
Inequivalent atoms, fractional coordinates:
Rb1 0.182 0.318 0.000 [4 per cell]
Tl1 0.142 0.642 0.500 [4 per cell]
Ge1 0.000 0.000 0.500 [2 per cell]

## Properties
The total energy comes out at -2.198 eV per atom. As for the density of states at the Fermi level: 4.631 states/eV/f.u. The crystal system is tetragonal.